Crystalline ZnOs2Rh at its relaxed geometry, computed with PBE-GGA.

The magnetization comes out at 0.0 Bohr magnetons per cell. The calculation puts the density of states at the Fermi level at 0.99 states/eV per atom. For the formation energy, the calculation gives 293 meV/atom.

It has space group Cmmm (No. 65), with a = 5.1610 Å, b = 8.1857 Å, c = 2.7104 Å, α = 90.00°, β = 90.00° and γ = 90.00°. The inequivalent atoms are Zn at (0.0000, 0.0000, 0.0000), Os at (0.2500, 0.2500, 0.5000) and Rh at (0.0000, 0.5000, 0.0000).



Crystalline Pm3InBi2 at its relaxed geometry, computed with PBE-GGA.

The magnetization comes out at 0.0 Bohr magnetons per cell. The calculation puts the density of states at the Fermi level at 0.71 states/eV per atom. For the formation energy, the calculation gives -663 meV/atom.

It has space group C2/c (No. 15), with a = 14.6236 Å, b = 6.4282 Å, c = 8.9754 Å, α = 90.00°, β = 107.86° and γ = 90.00°. The inequivalent atoms are Pm at (0.0000, 0.0011, 0.2500), Pm at (0.1721, 0.5001, 0.0860), In at (0.0000, 0.4988, 0.7500) and Bi at (0.1657, 0.0001, 0.0828).



Crystalline LiMg4Hg at its relaxed geometry, computed with PBE-GGA.

The magnetization comes out at 0.0 Bohr magnetons per cell. The calculation puts the density of states at the Fermi level at 0.44 states/eV per atom. The calculation puts the excess energy over the best structure of this formula in the dataset at 24 meV/atom. For the formation energy, the calculation gives -16 meV/atom.

It has space group Cmc2_1 (No. 36), with a = 4.4131 Å, b = 26.7966 Å, c = 4.6667 Å, α = 90.00°, β = 90.00° and γ = 90.00°. The inequivalent atoms are Li at (0.0000, 0.0970, 0.0000), Mg at (0.0000, 0.1664, 0.5015), Mg at (0.0000, 0.2480, 0.0015), Mg at (0.0000, 0.3342, 0.5021), Mg at (0.0000, 0.4704, 0.5037) and Hg at (0.0000, 0.4103, 0.0032).



Crystalline Mg2HOs at its relaxed geometry, computed with PBE-GGA.

The magnetization comes out at 0.0 Bohr magnetons per cell. The calculation puts the density of states at the Fermi level at 0.42 states/eV per atom. The calculation puts the excess energy over the best structure of this formula in the dataset at 76 meV/atom.

It has space group P1 (No. 1), with a = 4.9960 Å, b = 5.0504 Å, c = 5.0767 Å, α = 119.66°, β = 97.45° and γ = 97.23°. The inequivalent atoms are Mg at (0.0000, 0.0000, 0.0000), Mg at (0.0045, 0.6674, 0.3233), Mg at (0.5141, 0.1178, 0.7802), Mg at (0.5239, 0.4384, 0.4432), H at (0.2065, 0.1232, 0.4502), H at (0.7368, 0.0240, 0.4331), Os at (0.0412, 0.3714, 0.6959) and Os at (0.4801, 0.7386, 0.0615).



Crystalline Ba2AlAu at its relaxed geometry, computed with PBE-GGA.

The magnetization comes out at 0.0 Bohr magnetons per cell. The calculation puts the density of states at the Fermi level at 0.84 states/eV per atom. For the formation energy, the calculation gives -378 meV/atom.

It has space group Imm2 (No. 44), with a = 4.0716 Å, b = 5.7691 Å, c = 11.2513 Å, α = 90.00°, β = 90.00° and γ = 90.00°. The inequivalent atoms are Ba at (0.0000, 0.0000, 0.0000), Ba at (0.0000, 0.5000, 0.1878), Al at (0.0000, 0.5000, 0.7860) and Au at (0.0000, 0.0000, 0.4221).



Crystalline RbTlAs2Pt4 at its relaxed geometry, computed with PBE-GGA.

The magnetization comes out at 0.0 Bohr magnetons per cell. The calculation puts the density of states at the Fermi level at 0.34 states/eV per atom. For the formation energy, the calculation gives -331 meV/atom.

It has space group P4/mmm (No. 123), with a = 4.0357 Å, b = 4.0357 Å, c = 11.4109 Å, α = 90.00°, β = 90.00° and γ = 90.00°. The inequivalent atoms are Rb at (0.0000, 0.0000, 0.0000), Tl at (0.0000, 0.0000, 0.5000), As at (0.5000, 0.5000, 0.1884) and Pt at (0.0000, 0.5000, 0.3100).



Crystalline KCaTa at its relaxed geometry, computed with PBE-GGA.

The magnetization comes out at 0.0 Bohr magnetons per cell. The calculation puts the density of states at the Fermi level at 1.01 states/eV per atom. The calculation puts the excess energy over the best structure of this formula in the dataset at 572 meV/atom. For the formation energy, the calculation gives 904 meV/atom.

It has space group Pnma (No. 62), with a = 4.6242 Å, b = 6.7491 Å, c = 14.6290 Å, α = 90.00°, β = 90.00° and γ = 90.00°. The inequivalent atoms are K at (0.2437, 0.2500, 0.1619), Ca at (0.2471, 0.2500, 0.5606) and Ta at (0.2480, 0.2500, 0.7809).



Crystalline Ce8ZnIr2 at its relaxed geometry, computed with PBE-GGA.

The magnetization comes out at 6.5 Bohr magnetons per cell. The calculation puts the density of states at the Fermi level at 2.96 states/eV per atom. For the formation energy, the calculation gives -247 meV/atom.

It has space group C2/m (No. 12), with a = 14.1266 Å, b = 6.4936 Å, c = 6.3606 Å, α = 90.00°, β = 99.41° and γ = 90.00°. The inequivalent atoms are Ce at (0.0355, 0.0000, 0.3128), Ce at (0.1148, 0.2586, 0.8756), Ce at (0.2049, 0.5000, 0.3680), Zn at (0.0000, 0.5000, 0.5000) and Ir at (0.2222, 0.0000, 0.2030).



Crystalline Ba2AuSe at its relaxed geometry, computed with PBE-GGA.

The magnetization comes out at 0.0 Bohr magnetons per cell. The calculation puts the density of states at the Fermi level at 0.58 states/eV per atom. As for the uncorrected formation energy: -475 kJ/mol of formula units.

It has space group P4/mmm (No. 123), with a = 4.0758 Å, b = 4.0758 Å, c = 7.9285 Å, α = 90.00°, β = 90.00° and γ = 90.00°. The inequivalent atoms are Ba at (0.0000, 0.0000, 0.2434), Au at (0.5000, 0.5000, 0.5000) and Se at (0.5000, 0.5000, 0.0000).



Crystalline K5Zr4 at its relaxed geometry, computed with PBE-GGA.

The magnetization comes out at 2.2 Bohr magnetons per cell. The calculation puts the density of states at the Fermi level at 1.54 states/eV per atom. The calculation puts the excess energy over the best structure of this formula in the dataset at 742 meV/atom. For the formation energy, the calculation gives 1287 meV/atom.

It has space group P6_3/mcm (No. 193), with a = 13.4019 Å, b = 13.4019 Å, c = 5.3885 Å, α = 90.00°, β = 90.00° and γ = 120.00°. The inequivalent atoms are K at (0.0000, 0.2608, 0.2500), K at (0.3333, 0.6667, 0.0000), Zr at (0.0000, 0.0000, 0.0000) and Zr at (0.0000, 0.4761, 0.7500).



Crystalline Ba2RhAu at its relaxed geometry, computed with PBE-GGA.

The magnetization comes out at 0.0 Bohr magnetons per cell. The calculation puts the density of states at the Fermi level at 0.21 states/eV per atom. For the formation energy, the calculation gives -133 meV/atom.

It has space group I-42d (No. 122), with a = 8.4366 Å, b = 8.4366 Å, c = 7.2955 Å, α = 90.00°, β = 90.00° and γ = 90.00°. The inequivalent atoms are Ba at (0.2181, 0.7500, 0.1250), Rh at (0.0000, 0.0000, 0.0000) and Au at (0.0000, 0.0000, 0.5000).



Crystalline ZrAlCr2 at its relaxed geometry, computed with PBE-GGA.

The magnetization comes out at 3.4 Bohr magnetons per cell. The calculation puts the density of states at the Fermi level at 1.16 states/eV per atom. For the formation energy, the calculation gives 108 meV/atom.

It has space group F-43m (No. 216), with a = 6.3500 Å, b = 6.3500 Å, c = 6.3500 Å, α = 90.00°, β = 90.00° and γ = 90.00°. The inequivalent atoms are Zr at (0.0000, 0.0000, 0.0000), Al at (0.2500, 0.2500, 0.2500), Cr at (0.0000, 0.0000, 0.5000) and Cr at (0.2500, 0.2500, 0.7500).



Crystalline SrTlGa2Co at its relaxed geometry, computed with PBE-GGA.

The magnetization comes out at 0.0 Bohr magnetons per cell. The calculation puts the density of states at the Fermi level at 0.81 states/eV per atom. For the formation energy, the calculation gives -196 meV/atom.

It has space group P4/mmm (No. 123), with a = 4.7029 Å, b = 4.7029 Å, c = 5.0747 Å, α = 90.00°, β = 90.00° and γ = 90.00°. The inequivalent atoms are Sr at (0.0000, 0.0000, 0.0000), Tl at (0.5000, 0.5000, 0.0000), Ga at (0.0000, 0.5000, 0.5000) and Co at (0.5000, 0.5000, 0.5000).



Crystalline BaLa3Ti at its relaxed geometry, computed with PBE-GGA.

The magnetization comes out at 0.0 Bohr magnetons per cell. The calculation puts the density of states at the Fermi level at 1.14 states/eV per atom. The calculation puts the excess energy over the best structure of this formula in the dataset at 0 meV/atom. For the formation energy, the calculation gives 339 meV/atom.

It has space group Pm-3m (No. 221), with a = 5.8248 Å, b = 5.8248 Å, c = 5.8248 Å, α = 90.00°, β = 90.00° and γ = 90.00°. The inequivalent atoms are Ba at (0.0000, 0.0000, 0.0000), La at (0.0000, 0.5000, 0.5000) and Ti at (0.5000, 0.5000, 0.5000).



no.,total DFT energy (no corrections) (eV for the cell shown)
1,-59.8
2,-114.9
3,-34.8
4,-35.3
5,-24.8
6,-39.4
7,-49.0
8,-138.4
9,-15.5
10,-56.2
11,-60.0
12,-124.4
13,-18.2
14,-22.9